Material: SiAgRu4
Method: DFT, meta-GGA SCAN
State: single point on PBEsol structure

For the density of states at the Fermi level, the calculation gives 19.5 states/eV per cell. The value obtained for the calculated total energy is -29.38 eV per atom.

It has space group F-43m (No. 216), with a = 7.0906 Å, b = 7.0906 Å, c = 7.0906 Å, α = 90.00°, β = 90.00° and γ = 90.00°. The inequivalent atoms are Si at (0.0000, 0.0000, 0.0000), Ag at (0.2500, 0.2500, 0.2500) and Ru at (0.1252, 0.1252, 0.6252).